1.
Sr3BSe: relaxed, PBEsol.

```
Sr3BSe
1.0
5.422 0.000 0.000
0.000 5.422 0.000
0.000 0.000 5.422
Sr B Se
3 1 1
Cartesian
0.000 0.000 2.711
0.000 2.711 0.000
2.711 0.000 0.000
0.000 0.000 0.000
2.711 2.711 2.711
```

Values from the calculation:
ΔE_f (raw) ... -0.238 eV per atom
Volume ... 159.4 Å³ per cell
Mass density ... 3.674 g/cm³
D(E_F) ... 0.637 states/eV per atom



2.
Ta3BSe: relaxed, PBEsol.

```
Ta3BSe
1.0
4.332 0.000 0.000
0.000 4.332 0.000
0.000 0.000 4.332
Ta B Se
3 1 1
Cartesian
0.000 0.000 2.166
0.000 2.166 0.000
2.166 0.000 0.000
0.000 0.000 0.000
2.166 2.166 2.166
```

Values from the calculation:
ΔE_f (raw) ... 0.355 eV per atom
Volume ... 81.3 Å³ per cell
Mass density ... 12.924 g/cm³
D(E_F) ... 1.299 states/eV per atom



3.
TaBSe3: relaxed, PBEsol.

```
TaBSe3
1.0
4.961 0.000 0.000
0.000 4.961 0.000
0.000 0.000 4.961
Ta B Se
1 1 3
Cartesian
0.000 0.000 0.000
2.481 2.481 2.481
0.000 0.000 2.481
0.000 2.481 0.000
2.481 0.000 0.000
```

Values from the calculation:
ΔE_f (raw) ... 0.790 eV per atom
Volume ... 122.1 Å³ per cell
Mass density ... 5.829 g/cm³
D(E_F) ... 0.438 states/eV per atom



4.
TcB3Se: relaxed, PBEsol.

```
TcB3Se
1.0
4.120 0.000 0.000
0.000 4.120 0.000
0.000 0.000 4.120
Tc B Se
1 3 1
Cartesian
0.000 0.000 0.000
0.000 0.000 2.060
0.000 2.060 0.000
2.060 0.000 0.000
2.060 2.060 2.060
```

Values from the calculation:
ΔE_f (raw) ... 1.515 eV per atom
Volume ... 69.9 Å³ per cell
Mass density ... 4.973 g/cm³
D(E_F) ... 0.987 states/eV per atom



5.
BTeSe2: relaxed, PBEsol.

```
BTeSe2
1.0
0.000 3.355 3.355
3.355 0.000 3.355
3.355 3.355 0.000
B Te Se
1 1 2
Cartesian
0.000 0.000 0.000
3.355 3.355 3.355
1.678 1.678 1.678
5.033 5.033 5.033
```

Values from the calculation:
ΔE_f (raw) ... 1.096 eV per atom
Volume ... 75.5 Å³ per cell
Mass density ... 6.514 g/cm³
D(E_F) ... 0.599 states/eV per atom



6.
BTe2Se: relaxed, PBEsol.

```
BTe2Se
1.0
0.000 5.345 4.438
3.766 0.000 4.438
3.766 5.345 0.000
B Te Se
2 4 2
Cartesian
0.000 0.000 0.000
1.883 2.672 2.219
3.654 2.190 3.650
5.761 4.862 5.869
3.878 8.500 3.650
1.771 5.828 5.869
3.766 5.345 3.652
5.649 8.017 5.871
```

Values from the calculation:
ΔE_f (raw) ... 0.366 eV per atom
Volume ... 178.7 Å³ per cell
Mass density ... 6.413 g/cm³
D(E_F) ... 0.304 states/eV per atom



7.
B2TeSe: relaxed, PBEsol.

```
B2TeSe
1.0
0.000 3.074 3.074
3.074 0.000 3.074
3.074 3.074 0.000
B Te Se
2 1 1
Cartesian
1.537 1.537 1.537
4.611 4.611 4.611
0.000 0.000 0.000
3.074 3.074 3.074
```

Values from the calculation:
ΔE_f (raw) ... 1.592 eV per atom
Volume ... 58.1 Å³ per cell
Mass density ... 6.523 g/cm³
Energy relative to the lowest polymorph listed for this composition ... 0.782 eV per atom
D(E_F) ... 0.411 states/eV per atom



8.
B2TeSe: relaxed, PBEsol.

```
B2TeSe
1.0
-2.819 2.819 3.938
2.819 -2.819 3.938
2.819 2.819 -3.938
B Te Se
4 2 2
Cartesian
4.229 1.240 -0.984
1.240 1.410 0.984
-1.410 1.579 2.953
1.579 1.410 4.922
2.819 0.000 1.969
0.000 0.000 3.938
0.000 0.000 0.000
0.000 2.819 1.969
```

Values from the calculation:
ΔE_f (raw) ... 0.809 eV per atom
Volume ... 125.2 Å³ per cell
Mass density ... 6.054 g/cm³
Energy relative to the lowest polymorph listed for this composition ... 0.000 eV per atom
D(E_F) ... 0.337 states/eV per atom



9.
Ti3BSe: relaxed, PBEsol.

```
Ti3BSe
1.0
4.537 0.000 0.000
0.000 4.537 0.000
0.000 0.000 4.537
Ti B Se
3 1 1
Cartesian
0.000 0.000 2.269
0.000 2.269 0.000
2.269 0.000 0.000
2.269 2.269 2.269
0.000 0.000 0.000
```

Values from the calculation:
ΔE_f (raw) ... 0.836 eV per atom
Volume ... 93.4 Å³ per cell
Mass density ... 4.148 g/cm³
D(E_F) ... 1.488 states/eV per atom



10.
TiBSe2: relaxed, PBEsol.

```
TiBSe2
1.0
-2.795 2.795 4.529
2.795 -2.795 4.529
2.795 2.795 -4.529
Ti B Se
2 2 4
Cartesian
0.000 0.000 0.000
0.000 2.795 2.265
2.795 0.000 2.265
0.000 0.000 4.529
1.397 -1.022 3.397
1.773 1.397 1.132
1.397 3.817 -1.132
1.022 1.397 5.662
```

Values from the calculation:
ΔE_f (raw) ... -0.003 eV per atom
Volume ... 141.5 Å³ per cell
Mass density ... 5.083 g/cm³
D(E_F) ... 0.970 states/eV per atom



11.
TlBSe3: relaxed, PBEsol.

```
TlBSe3
1.0
3.607 -5.982 0.000
3.607 5.982 0.000
-2.878 0.000 5.431
Tl B Se
2 2 6
Cartesian
2.168 3.852 2.715
3.607 -3.852 0.000
3.544 0.295 0.547
2.105 -0.295 3.262
0.350 0.747 2.900
0.394 2.033 4.916
1.790 -0.747 0.185
1.833 -2.033 2.200
3.784 0.637 2.547
2.345 -0.637 5.262
```

Values from the calculation:
ΔE_f (raw) ... -0.210 eV per atom
Volume ... 234.4 Å³ per cell
Mass density ... 6.405 g/cm³



12.
B2W2Se: relaxed, PBEsol.

```
B2W2Se
1.0
-2.103 2.103 3.462
2.103 -2.103 3.462
2.103 2.103 -3.462
B W Se
2 2 1
Cartesian
0.000 0.000 0.848
0.000 0.000 6.077
2.103 0.000 1.731
0.000 2.103 1.731
0.000 0.000 3.462
```

Values from the calculation:
ΔE_f (raw) ... 0.388 eV per atom
Volume ... 61.3 Å³ per cell
Mass density ... 12.692 g/cm³
D(E_F) ... 0.672 states/eV per atom



What did the fourth record say?
TcB3Se: relaxed, PBEsol.

```
TcB3Se
1.0
4.120 0.000 0.000
0.000 4.120 0.000
0.000 0.000 4.120
Tc B Se
1 3 1
Cartesian
0.000 0.000 0.000
0.000 0.000 2.060
0.000 2.060 0.000
2.060 0.000 0.000
2.060 2.060 2.060
```

Values from the calculation:
ΔE_f (raw) ... 1.515 eV per atom
Volume ... 69.9 Å³ per cell
Mass density ... 4.973 g/cm³
D(E_F) ... 0.987 states/eV per atom



- Number 3 is which compound?
  TaBSe3



- What is the volume in the fifth record?
  75.5 Å³ per cell



What did the twelfth record say?
B2W2Se: relaxed, PBEsol.

```
B2W2Se
1.0
-2.103 2.103 3.462
2.103 -2.103 3.462
2.103 2.103 -3.462
B W Se
2 2 1
Cartesian
0.000 0.000 0.848
0.000 0.000 6.077
2.103 0.000 1.731
0.000 2.103 1.731
0.000 0.000 3.462
```

Values from the calculation:
ΔE_f (raw) ... 0.388 eV per atom
Volume ... 61.3 Å³ per cell
Mass density ... 12.692 g/cm³
D(E_F) ... 0.672 states/eV per atom